Entry 1:
GeBTe2Pd after structural relaxation, computed with PBE-GGA.

Cell lengths 5.4545, 4.6589, 5.4545 Å; angles 90.00, 90.00, 90.00 degrees
Fractional positions:
B 0.5000 0.5000 0.5000
Ge 0.0000 0.5000 0.0000
Pd 0.0000 0.0000 0.0000
Te 0.0000 0.0000 0.5000
Te 0.5000 0.0000 0.0000

## Properties
calculated volume = 138.6 Å³/f.u.
space-group type = P4/mmm
formation energy (no corrections) = 1.107 eV per atom
magnetic moment = 0.000 μB per formula unit

***

Entry 2:
Pr4DyY3S8 after structural relaxation, computed with PBE-GGA.

Cell lengths 7.9441, 8.1079, 7.9439 Å; angles 119.34, 120.00, 90.00 degrees
Fractional positions:
S 0.7567 0.2692 0.0125
Pr 0.5000 0.0000 0.5000
Pr 0.0000 0.0000 0.5000
Pr 0.0000 0.0000 0.0000
S 0.2433 0.7308 0.4866
Pr 0.5000 0.0000 0.0000
S 0.7567 0.2692 0.5134
S 0.2563 0.2689 0.5126
Dy 0.0000 0.5000 0.0000
S 0.7437 0.7311 0.4874
S 0.2433 0.7308 0.9875
Y 0.0000 0.5000 0.5000
S 0.2558 0.2692 0.0125
Y 0.5000 0.5000 0.0000
Y 0.5000 0.5000 0.5000
S 0.7442 0.7308 0.9875

## Properties
calculated volume = 365.4 Å³/f.u.
space-group type = R-3m
formation energy (no corrections) = -2.012 eV per atom
magnetic moment = 0.000 μB per formula unit

***

Number 2 is which compound?
Pr4DyY3S8